# K3Pb5S12, relaxed, DFT PBE
# ΔE_f (raw)	-5.256	kcal/mol of atoms
data_K3Pb5S12
_cell_length_a 14.494
_cell_length_b 14.494
_cell_length_c 14.494
_cell_angle_alpha 109.47
_cell_angle_beta 109.47
_cell_angle_gamma 109.47
_symmetry_space_group_name_H-M 'P 1'
_symmetry_Int_Tables_number 1
_symmetry_space_group_name_Hall 'P 1'
loop_
_atom_site_label
_atom_site_fract_x
_atom_site_fract_y
_atom_site_fract_z
_atom_site_occupancy
K1 0.125 0.250 0.375 1
K2 0.125 0.375 0.750 1
K3 0.250 0.375 0.125 1
K4 0.250 0.875 0.625 1
K5 0.375 0.125 0.250 1
K6 0.375 0.750 0.125 1
K7 0.625 0.250 0.875 1
K8 0.625 0.875 0.750 1
K9 0.750 0.125 0.375 1
K10 0.750 0.625 0.875 1
K11 0.875 0.625 0.250 1
K12 0.875 0.750 0.625 1
Pb1 0.000 0.000 0.000 1
Pb2 0.000 0.000 0.500 1
Pb3 0.000 0.500 0.000 1
Pb4 0.000 0.500 0.500 1
Pb5 0.125 0.750 0.875 1
Pb6 0.125 0.875 0.250 1
Pb7 0.250 0.125 0.875 1
Pb8 0.250 0.625 0.375 1
Pb9 0.375 0.250 0.625 1
Pb10 0.375 0.625 0.750 1
Pb11 0.500 0.000 0.000 1
Pb12 0.500 0.000 0.500 1
Pb13 0.500 0.500 0.000 1
Pb14 0.500 0.500 0.500 1
Pb15 0.625 0.375 0.250 1
Pb16 0.625 0.750 0.375 1
Pb17 0.750 0.375 0.625 1
Pb18 0.750 0.875 0.125 1
Pb19 0.875 0.125 0.750 1
Pb20 0.875 0.250 0.125 1
S1 0.031 0.208 0.118 1
S2 0.031 0.323 0.913 1
S3 0.087 0.618 0.411 1
S4 0.087 0.969 0.677 1
S5 0.089 0.708 0.677 1
S6 0.089 0.882 0.413 1
S7 0.118 0.031 0.208 1
S8 0.118 0.587 0.911 1
S9 0.177 0.208 0.589 1
S10 0.177 0.469 0.587 1
S11 0.208 0.118 0.031 1
S12 0.208 0.589 0.177 1
S13 0.292 0.323 0.911 1
S14 0.292 0.469 0.382 1
S15 0.323 0.911 0.292 1
S16 0.323 0.913 0.031 1
S17 0.382 0.292 0.469 1
S18 0.382 0.589 0.913 1
S19 0.411 0.087 0.618 1
S20 0.411 0.823 0.792 1
S21 0.413 0.089 0.882 1
S22 0.413 0.823 0.531 1
S23 0.469 0.382 0.292 1
S24 0.469 0.587 0.177 1
S25 0.531 0.413 0.823 1
S26 0.531 0.618 0.708 1
S27 0.587 0.177 0.469 1
S28 0.587 0.911 0.118 1
S29 0.589 0.177 0.208 1
S30 0.589 0.913 0.382 1
S31 0.618 0.411 0.087 1
S32 0.618 0.708 0.531 1
S33 0.677 0.087 0.969 1
S34 0.677 0.089 0.708 1
S35 0.708 0.531 0.618 1
S36 0.708 0.677 0.089 1
S37 0.792 0.411 0.823 1
S38 0.792 0.882 0.969 1
S39 0.823 0.531 0.413 1
S40 0.823 0.792 0.411 1
S41 0.882 0.413 0.089 1
S42 0.882 0.969 0.792 1
S43 0.911 0.118 0.587 1
S44 0.911 0.292 0.323 1
S45 0.913 0.031 0.323 1
S46 0.913 0.382 0.589 1
S47 0.969 0.677 0.087 1
S48 0.969 0.792 0.882 1

=====

# Ba2TlPd2, relaxed, DFT PBE
# ΔH_f (0 K)	-1.9	eV/f.u.
data_Ba2TlPd2
_cell_length_a 6.067
_cell_length_b 6.067
_cell_length_c 6.067
_cell_angle_alpha 118.03
_cell_angle_beta 118.03
_cell_angle_gamma 93.45
_symmetry_space_group_name_H-M 'P 1'
_symmetry_Int_Tables_number 1
_symmetry_space_group_name_Hall 'P 1'
loop_
_atom_site_label
_atom_site_fract_x
_atom_site_fract_y
_atom_site_fract_z
_atom_site_occupancy
Ba1 0.250 0.750 0.500 1
Ba2 0.750 0.250 0.500 1
Tl1 0.000 0.000 0.000 1
Pd1 0.336 0.336 0.000 1
Pd2 0.664 0.664 0.000 1

=====

# DyGaCu, relaxed, DFT PBE
# ΔH_f (0 K)	-1.1	eV/f.u.
data_DyGaCu
_cell_length_a 4.455
_cell_length_b 4.455
_cell_length_c 4.455
_cell_angle_alpha 60.00
_cell_angle_beta 60.00
_cell_angle_gamma 60.00
_symmetry_space_group_name_H-M 'P 1'
_symmetry_Int_Tables_number 1
_symmetry_space_group_name_Hall 'P 1'
loop_
_atom_site_label
_atom_site_fract_x
_atom_site_fract_y
_atom_site_fract_z
_atom_site_occupancy
Dy1 0.000 0.000 0.000 1
Ga1 0.500 0.500 0.500 1
Cu1 0.750 0.750 0.750 1

=====

# KAgF3, relaxed, DFT PBE
# ΔE_f (raw)	-41.107	kcal/mol of atoms
data_KAgF3
_cell_length_a 6.592
_cell_length_b 6.592
_cell_length_c 6.592
_cell_angle_alpha 55.89
_cell_angle_beta 55.89
_cell_angle_gamma 55.89
_symmetry_space_group_name_H-M 'P 1'
_symmetry_Int_Tables_number 1
_symmetry_space_group_name_Hall 'P 1'
loop_
_atom_site_label
_atom_site_fract_x
_atom_site_fract_y
_atom_site_fract_z
_atom_site_occupancy
K1 0.134 0.134 0.134 1
K2 0.866 0.866 0.866 1
Ag1 0.343 0.343 0.343 1
Ag2 0.657 0.657 0.657 1
F1 0.054 0.468 0.694 1
F2 0.306 0.946 0.532 1
F3 0.468 0.694 0.054 1
F4 0.532 0.306 0.946 1
F5 0.694 0.054 0.468 1
F6 0.946 0.532 0.306 1

=====

# La14MgTl, relaxed, DFT PBE
# ΔH_f (0 K)	-0.9	eV/f.u.
data_La14MgTl
_cell_length_a 7.285
_cell_length_b 7.285
_cell_length_c 10.500
_cell_angle_alpha 90.00
_cell_angle_beta 90.00
_cell_angle_gamma 90.00
_symmetry_space_group_name_H-M 'P 1'
_symmetry_Int_Tables_number 1
_symmetry_space_group_name_Hall 'P 1'
loop_
_atom_site_label
_atom_site_fract_x
_atom_site_fract_y
_atom_site_fract_z
_atom_site_occupancy
La1 0.000 0.000 0.000 1
La2 0.000 0.500 0.000 1
La3 0.000 0.500 0.500 1
La4 0.249 0.249 0.255 1
La5 0.249 0.249 0.745 1
La6 0.249 0.751 0.255 1
La7 0.249 0.751 0.745 1
La8 0.500 0.000 0.000 1
La9 0.500 0.000 0.500 1
La10 0.500 0.500 0.000 1
La11 0.751 0.249 0.255 1
La12 0.751 0.249 0.745 1
La13 0.751 0.751 0.255 1
La14 0.751 0.751 0.745 1
Mg1 0.500 0.500 0.500 1
Tl1 0.000 0.000 0.500 1

=====

# NpNiS3, relaxed, DFT PBE
# ΔE_f (raw)	-19.565	kcal/mol of atoms
# relative energy among the computed polymorphs	0	meV per atom
data_NpNiS3
_cell_length_a 6.264
_cell_length_b 6.264
_cell_length_c 8.749
_cell_angle_alpha 90.00
_cell_angle_beta 90.00
_cell_angle_gamma 145.81
_symmetry_space_group_name_H-M 'P 1'
_symmetry_Int_Tables_number 1
_symmetry_space_group_name_Hall 'P 1'
loop_
_atom_site_label
_atom_site_fract_x
_atom_site_fract_y
_atom_site_fract_z
_atom_site_occupancy
Np1 0.236 0.764 0.750 1
Np2 0.764 0.236 0.250 1
Ni1 0.029 0.971 0.250 1
Ni2 0.971 0.029 0.750 1
S1 0.161 0.839 0.074 1
S2 0.161 0.839 0.426 1
S3 0.428 0.572 0.250 1
S4 0.572 0.428 0.750 1
S5 0.839 0.161 0.574 1
S6 0.839 0.161 0.926 1

=====

# PmCrCu4, relaxed, DFT PBE
# ΔH_f (0 K)	0.1	eV/f.u.
data_PmCrCu4
_cell_length_a 5.107
_cell_length_b 5.107
_cell_length_c 5.107
_cell_angle_alpha 60.00
_cell_angle_beta 60.00
_cell_angle_gamma 60.00
_symmetry_space_group_name_H-M 'P 1'
_symmetry_Int_Tables_number 1
_symmetry_space_group_name_Hall 'P 1'
loop_
_atom_site_label
_atom_site_fract_x
_atom_site_fract_y
_atom_site_fract_z
_atom_site_occupancy
Pm1 0.000 0.000 0.000 1
Cr1 0.250 0.250 0.250 1
Cu1 0.130 0.623 0.623 1
Cu2 0.623 0.130 0.623 1
Cu3 0.623 0.623 0.130 1
Cu4 0.623 0.623 0.623 1

=====

# Nb6FePt, relaxed, DFT PBE
# ΔH_f (0 K)	-1.2	eV/f.u.
data_Nb6FePt
_cell_length_a 7.135
_cell_length_b 7.135
_cell_length_c 7.135
_cell_angle_alpha 141.85
_cell_angle_beta 141.85
_cell_angle_gamma 55.05
_symmetry_space_group_name_H-M 'P 1'
_symmetry_Int_Tables_number 1
_symmetry_space_group_name_Hall 'P 1'
loop_
_atom_site_label
_atom_site_fract_x
_atom_site_fract_y
_atom_site_fract_z
_atom_site_occupancy
Nb1 0.123 0.623 0.500 1
Nb2 0.248 0.248 0.000 1
Nb3 0.377 0.877 0.500 1
Nb4 0.623 0.123 0.500 1
Nb5 0.752 0.752 0.000 1
Nb6 0.877 0.377 0.500 1
Fe1 0.000 0.000 0.000 1
Pt1 0.500 0.500 0.000 1

=====

# AcBrO6, relaxed, DFT PBE
# ΔE_f (raw)	-13.656	kcal/mol of atoms
data_AcBrO6
_cell_length_a 4.732
_cell_length_b 4.732
_cell_length_c 4.732
_cell_angle_alpha 98.07
_cell_angle_beta 98.07
_cell_angle_gamma 98.07
_symmetry_space_group_name_H-M 'P 1'
_symmetry_Int_Tables_number 1
_symmetry_space_group_name_Hall 'P 1'
loop_
_atom_site_label
_atom_site_fract_x
_atom_site_fract_y
_atom_site_fract_z
_atom_site_occupancy
Ac1 0.000 0.000 0.000 1
Br1 0.500 0.500 0.500 1
O1 0.228 0.228 0.572 1
O2 0.228 0.572 0.228 1
O3 0.428 0.772 0.772 1
O4 0.572 0.228 0.228 1
O5 0.772 0.428 0.772 1
O6 0.772 0.772 0.428 1

=====

# HoEr2TmO6, relaxed, DFT PBE
# ΔE_f (raw)	-82.823	kcal/mol of atoms
data_HoEr2TmO6
_cell_length_a 6.012
_cell_length_b 6.012
_cell_length_c 6.012
_cell_angle_alpha 57.05
_cell_angle_beta 57.05
_cell_angle_gamma 57.05
_symmetry_space_group_name_H-M 'P 1'
_symmetry_Int_Tables_number 1
_symmetry_space_group_name_Hall 'P 1'
loop_
_atom_site_label
_atom_site_fract_x
_atom_site_fract_y
_atom_site_fract_z
_atom_site_occupancy
Ho1 0.000 0.000 0.000 1
Er1 0.283 0.283 0.283 1
Er2 0.784 0.784 0.784 1
Tm1 0.498 0.498 0.498 1
O1 0.099 0.683 0.393 1
O2 0.187 0.598 0.889 1
O3 0.393 0.099 0.683 1
O4 0.598 0.889 0.187 1
O5 0.683 0.393 0.099 1
O6 0.889 0.187 0.598 1

=====

# Re2SiPt, relaxed, DFT PBE
# ΔE_f (raw)	-0.732	kcal/mol of atoms
data_Re2SiPt
_cell_length_a 8.731
_cell_length_b 8.731
_cell_length_c 8.731
_cell_angle_alpha 18.39
_cell_angle_beta 18.39
_cell_angle_gamma 18.39
_symmetry_space_group_name_H-M 'P 1'
_symmetry_Int_Tables_number 1
_symmetry_space_group_name_Hall 'P 1'
loop_
_atom_site_label
_atom_site_fract_x
_atom_site_fract_y
_atom_site_fract_z
_atom_site_occupancy
Re1 0.245 0.245 0.245 1
Re2 0.755 0.755 0.755 1
Si1 0.500 0.500 0.500 1
Pt1 0.000 0.000 0.000 1

=====

# NaSn3S4, relaxed, DFT PBE
# ΔE_f (raw)	-12.542	kcal/mol of atoms
data_NaSn3S4
_cell_length_a 4.012
_cell_length_b 7.043
_cell_length_c 7.043
_cell_angle_alpha 108.73
_cell_angle_beta 90.00
_cell_angle_gamma 90.00
_symmetry_space_group_name_H-M 'P 1'
_symmetry_Int_Tables_number 1
_symmetry_space_group_name_Hall 'P 1'
loop_
_atom_site_label
_atom_site_fract_x
_atom_site_fract_y
_atom_site_fract_z
_atom_site_occupancy
Na1 0.000 0.000 0.000 1
Sn1 0.000 0.500 0.500 1
Sn2 0.500 0.000 0.500 1
Sn3 0.500 0.500 0.000 1
S1 0.000 0.250 0.749 1
S2 0.000 0.749 0.250 1
S3 0.500 0.255 0.255 1
S4 0.500 0.744 0.744 1

=====

| no. | uncorrected energy (eV/atom) |
| --- | --- |
| 1 | -3.80 |
| 2 | -3.70 |
| 3 | -4.26 |
| 4 | -3.70 |
| 5 | -4.61 |
| 6 | -7.07 |
| 7 | -5.11 |
| 8 | -9.51 |
| 9 | -5.03 |
| 10 | -8.38 |
| 11 | -9.12 |
| 12 | -4.27 |